Record 1
Material: NaSmSb2
Method: DFT, GGA-PBE
State: relaxed

Computed properties:
- total magnetic moment (μB/cell) = 0.0
- total energy (eV/atom) = -4.185
- raw formation energy (eV per atom) = -0.6138
- energy above the most stable polymorph in this dataset (kcal/mol of atoms) = 0.00

Geometry as CIF:
```
data_NaSmSb2
_chemical_formula_sum 'Na1 Sm1 Sb2'
_symmetry_space_group_name_H-M 'P 4/m m m'
_symmetry_Int_Tables_number 123
_symmetry_space_group_name_Hall '-P 4 2'
_cell_length_a 5.023
_cell_length_b 5.023
_cell_length_c 4.322
_cell_angle_alpha 90.00
_cell_angle_beta 90.00
_cell_angle_gamma 90.00
loop_
_atom_site_label
_atom_site_type_symbol
_atom_site_fract_x
_atom_site_fract_y
_atom_site_fract_z
Na1 Na 0.000 0.000 0.000
Sm1 Sm 0.500 0.500 0.000
Sb1 Sb 0.000 0.500 0.500
```

=====

Record 2
Material: MgV3As
Method: DFT, GGA-PBE
State: relaxed

Computed properties:
- total magnetic moment (μB/cell) = 4.1
- total energy (eV/atom) = -6.125
- energy relative to the elements (eV/f.u.) = 2.98
- energy above the most stable polymorph in this dataset (kcal/mol of atoms) = 0.00

Geometry as CIF:
```
data_MgV3As
_chemical_formula_sum 'Mg1 V3 As1'
_symmetry_space_group_name_H-M 'P m -3 m'
_symmetry_Int_Tables_number 221
_symmetry_space_group_name_Hall '-P 4 2 3'
_cell_length_a 4.591
_cell_length_b 4.591
_cell_length_c 4.591
_cell_angle_alpha 90.00
_cell_angle_beta 90.00
_cell_angle_gamma 90.00
loop_
_atom_site_label
_atom_site_type_symbol
_atom_site_fract_x
_atom_site_fract_y
_atom_site_fract_z
Mg1 Mg 0.000 0.000 0.000
V1 V 0.000 0.500 0.500
As1 As 0.500 0.500 0.500
```

=====

Record 3
Material: BaMgMo
Method: DFT, GGA-PBE
State: relaxed

Computed properties:
- total magnetic moment (μB/cell) = 13.2
- total energy (eV/atom) = -3.588
- energy relative to the elements (eV/f.u.) = 3.58
- energy above the most stable polymorph in this dataset (kcal/mol of atoms) = 8.29

Geometry as CIF:
```
data_BaMgMo
_chemical_formula_sum 'Ba4 Mg4 Mo4'
_symmetry_space_group_name_H-M 'F -4 3 m'
_symmetry_Int_Tables_number 216
_symmetry_space_group_name_Hall 'F -4 2 3'
_cell_length_a 7.434
_cell_length_b 7.434
_cell_length_c 7.434
_cell_angle_alpha 90.00
_cell_angle_beta 90.00
_cell_angle_gamma 90.00
loop_
_atom_site_label
_atom_site_type_symbol
_atom_site_fract_x
_atom_site_fract_y
_atom_site_fract_z
Ba1 Ba 0.000 0.000 0.000
Mg1 Mg 0.000 0.000 0.500
Mo1 Mo 0.250 0.250 0.750
```

=====

Record 4
Material: Pm7Tl2Co2
Method: DFT, GGA-PBE
State: relaxed

Computed properties:
- total magnetic moment (μB/cell) = 0.0
- total energy (eV/atom) = -4.863
- energy relative to the elements (eV/f.u.) = -1.29
- energy above the most stable polymorph in this dataset (kcal/mol of atoms) = 0.99

Geometry as CIF:
```
data_Pm7Tl2Co2
_chemical_formula_sum 'Pm14 Tl4 Co4'
_symmetry_space_group_name_H-M 'C m m m'
_symmetry_Int_Tables_number 65
_symmetry_space_group_name_Hall '-C 2 2'
_cell_length_a 8.070
_cell_length_b 11.300
_cell_length_c 7.176
_cell_angle_alpha 90.00
_cell_angle_beta 90.00
_cell_angle_gamma 90.00
loop_
_atom_site_label
_atom_site_type_symbol
_atom_site_fract_x
_atom_site_fract_y
_atom_site_fract_z
Pm1 Pm 0.000 0.000 0.000
Pm2 Pm 0.000 0.500 0.232
Pm3 Pm 0.250 0.250 0.242
Tl1 Tl 0.180 0.000 0.500
Co1 Co 0.000 0.293 0.000
```

=====

Record 5
Material: Li2Cu2H5
Method: DFT, GGA-PBE
State: relaxed

Computed properties:
- total magnetic moment (μB/cell) = 0.0
- total energy (eV/atom) = -3.274

Geometry as CIF:
```
data_Li2Cu2H5
_chemical_formula_sum 'Li6 Cu6 H15'
_symmetry_space_group_name_H-M 'R 3 m'
_symmetry_Int_Tables_number 160
_symmetry_space_group_name_Hall 'R 3 -2"'
_cell_length_a 3.0320
_cell_length_b 3.0320
_cell_length_c 27.1317
_cell_angle_alpha 90.00
_cell_angle_beta 90.00
_cell_angle_gamma 120.00
loop_
_atom_site_label
_atom_site_type_symbol
_atom_site_fract_x
_atom_site_fract_y
_atom_site_fract_z
Li1 Li 0.0000 0.0000 0.0000
Li2 Li 0.0000 0.0000 0.1633
Cu1 Cu 0.0000 0.0000 0.5848
Cu2 Cu 0.0000 0.0000 0.7416
H1 H 0.0000 0.0000 0.0764
H2 H 0.0000 0.0000 0.5252
H3 H 0.0000 0.0000 0.6818
H4 H 0.0000 0.0000 0.7991
H5 H 0.0000 0.0000 0.9311
```

=====

Record 6
Material: Mn3Fe4
Method: DFT, GGA-PBE
State: relaxed

Computed properties:
- total magnetic moment (μB/cell) = 22.9
- total energy (eV/atom) = -8.666
- energy relative to the elements (eV/f.u.) = 0.70
- energy above the most stable polymorph in this dataset (kcal/mol of atoms) = 0.22

Geometry as CIF:
```
data_Mn3Fe4
_chemical_formula_sum 'Mn6 Fe8'
_symmetry_space_group_name_H-M 'C 1 2/m 1'
_symmetry_Int_Tables_number 12
_cell_length_a 8.420
_cell_length_b 3.956
_cell_length_c 4.727
_cell_angle_alpha 90.00
_cell_angle_beta 95.32
_cell_angle_gamma 90.00
loop_
_symmetry_equiv_pos_as_xyz
'x,y,z'
'-x,-y,-z'
'-x,y,-z'
'x,-y,z'
'x+1/2,y+1/2,z'
'-x+1/2,-y+1/2,-z'
'-x+1/2,y+1/2,-z'
'x+1/2,-y+1/2,z'
loop_
_atom_site_label
_atom_site_type_symbol
_atom_site_fract_x
_atom_site_fract_y
_atom_site_fract_z
Mn1 Mn 0.000 0.000 0.000
Mn2 Mn 0.216 0.500 0.866
Fe1 Fe 0.071 0.500 0.286
Fe2 Fe 0.143 0.000 0.569
```

=====

What is the total magnetic moment in the first record? 0.0 μB/cell

=====

Look up the total magnetic moment of the second one. 4.1 μB/cell